12
Lattice="-3.193 6.067 3.498 -3.617 0.533 -4.226 -2.875 -2.733 2.116" Properties=species:S:1:pos:R:3 comment="LiHfGa, optimized geometry, DFT PBE" de_polymorph_mev_per_atom=223 pbc="T T T"
Li -6.795 4.057 0.786
Ga -4.842 1.933 0.694
Hf -4.831 4.424 -0.849
Hf -5.013 3.842 2.928
Ga -1.809 0.266 -2.113
Hf -4.672 0.025 -1.540
Ga -3.034 1.667 2.807
Hf -4.854 -0.558 2.237
Li -3.049 4.208 1.294
Ga 0.000 0.000 0.000
Li -6.635 -0.342 0.095
Li -2.890 -0.191 0.602